# 1
Compound: CePm2Pt9
Source: Alexandria
Functional: GGA-PBE
Structure: optimized geometry

Unit cell a=5.4489 b=5.4489 c=26.8268 alpha=90.00 beta=90.00 gamma=120.00
Space group R-3m (No. 166, hexagonal axes)
Unique sites:
1 Ce 0.0000 0.0000 0.0000
2 Pm 0.0000 0.0000 0.1395
3 Pt 0.0000 0.0000 0.3329
4 Pt 0.0000 0.0000 0.5000
5 Pt 0.0034 0.5017 0.9153

Output
- theoretical density (g/cm3) = 15.79
- M_tot (μB per atom) = 0.04
- formation energy from the elements (eV/f.u.) = -11.12

=====

# 2
Compound: Cd2TeRh
Source: Alexandria
Functional: GGA-PBE
Structure: optimized geometry

Unit cell a=6.919 b=6.919 c=6.919 alpha=90.00 beta=90.00 gamma=90.00
Space group F-43m (No. 216)
Unique sites:
1 Cd 0.000 0.000 0.000
2 Cd 0.250 0.250 0.250
3 Te 0.250 0.250 0.750
4 Rh 0.000 0.000 0.500

Output
- energy relative to the elements, uncorrected (eV per atom) = 0.139
- theoretical density (g/cm3) = 9.13
- M_tot (μB per atom) = 0.00

=====

# 3
Compound: KTeCl
Source: Alexandria
Functional: GGA-PBE
Structure: optimized geometry

Unit cell a=3.289 b=4.917 c=13.404 alpha=90.00 beta=90.00 gamma=90.00
Space group Imm2 (No. 44)
Unique sites:
1 K 0.000 0.000 0.000
2 Te 0.000 0.000 0.681
3 Cl 0.000 0.000 0.452

Output
- energy relative to the elements, uncorrected (eV per atom) = -0.702
- theoretical density (g/cm3) = 3.10
- M_tot (μB per atom) = 0.00